# TaCdRh, optimized geometry, DFT PBE
# * formation energy from the elements: 0.207 eV/atom
data_TaCdRh
_space_group_name_H-M_alt 'F -4 3 m'
_space_group_IT_number 216
_space_group_name_Hall 'F -4 2 3'
_cell_length_a 6.220
_cell_length_b 6.220
_cell_length_c 6.220
_cell_angle_alpha 90.00
_cell_angle_beta 90.00
_cell_angle_gamma 90.00
loop_
_atom_site_label
_atom_site_type_symbol
_atom_site_fract_x
_atom_site_fract_y
_atom_site_fract_z
_atom_site_occupancy
Ta1 Ta 0.000 0.000 0.000 1
Cd1 Cd 0.000 0.000 0.500 1
Rh1 Rh 0.250 0.250 0.750 1

***

# Pt2C, optimized geometry, DFT PBE
# * formation energy from the elements: 0.692 eV/atom
data_Pt2C
_space_group_name_H-M_alt 'C m m m'
_space_group_IT_number 65
_space_group_name_Hall '-C 2 2'
_cell_length_a 2.998
_cell_length_b 10.144
_cell_length_c 2.911
_cell_angle_alpha 90.00
_cell_angle_beta 90.00
_cell_angle_gamma 90.00
loop_
_atom_site_label
_atom_site_type_symbol
_atom_site_fract_x
_atom_site_fract_y
_atom_site_fract_z
_atom_site_occupancy
Pt1 Pt 0.000 0.133 0.000 1
C1 C 0.000 0.500 0.000 1

***

# Nd5MgGa4, optimized geometry, DFT PBE
# * formation energy from the elements: -0.462 eV/atom
data_Nd5MgGa4
_space_group_name_H-M_alt 'P 4/m m m'
_space_group_IT_number 123
_space_group_name_Hall '-P 4 2'
_cell_length_a 3.705
_cell_length_b 3.705
_cell_length_c 19.015
_cell_angle_alpha 90.00
_cell_angle_beta 90.00
_cell_angle_gamma 90.00
loop_
_atom_site_label
_atom_site_type_symbol
_atom_site_fract_x
_atom_site_fract_y
_atom_site_fract_z
_atom_site_occupancy
Nd1 Nd 0.000 0.000 0.000 1
Nd2 Nd 0.000 0.000 0.194 1
Nd3 Nd 0.000 0.000 0.387 1
Mg1 Mg 0.500 0.500 0.500 1
Ga1 Ga 0.500 0.500 0.097 1
Ga2 Ga 0.500 0.500 0.294 1

***

# Ca2AlO4, optimized geometry, DFT PBE
# * raw formation energy: -2717.4 meV per atom
data_Ca2AlO4
_space_group_name_H-M_alt 'I 4/m m m'
_space_group_IT_number 139
_space_group_name_Hall '-I 4 2'
_cell_length_a 3.730
_cell_length_b 3.730
_cell_length_c 11.876
_cell_angle_alpha 90.00
_cell_angle_beta 90.00
_cell_angle_gamma 90.00
loop_
_atom_site_label
_atom_site_type_symbol
_atom_site_fract_x
_atom_site_fract_y
_atom_site_fract_z
_atom_site_occupancy
Ca1 Ca 0.000 0.000 0.144 1
Al1 Al 0.000 0.000 0.500 1
O1 O 0.000 0.000 0.337 1
O2 O 0.000 0.500 0.000 1

***

Number 1: M_tot 1.05 μB/f.u.. Number 2: M_tot 0.00 μB/f.u.. Number 3: M_tot 0.00 μB/f.u.. Number 4: M_tot 0.99 μB/f.u..